Entry 1:
{
  "formula": "CsBa2B2Se6",
  "functional": "GGA-PBE",
  "state": "optimized geometry",
  "formation_energy_uncorrected_kj_per_mol_atoms": -94.2,
  "crystal_system": "triclinic",
  "space_group": "P-1 (2)",
  "m_tot_mub_per_cell": 0.965,
  "lattice_angstrom": [[-6.798, 1.211, -0.088], [-4.762, -4.528, 2.967], [-0.056, 5.732, 6.844]],
  "species": ["B", "B", "Se", "Se", "Se", "Se", "Se", "Se", "Ba", "Ba", "Cs"],
  "frac_coords": [[0.226, 0.688, 0.755], [0.774, 0.312, 0.245], [0.742, 0.576, 0.174], [0.937, 0.216, 0.418], [0.344, 0.847, 0.860], [0.656, 0.153, 0.140], [0.063, 0.784, 0.582], [0.258, 0.424, 0.826], [0.821, 0.304, 0.827], [0.179, 0.696, 0.173], [0.500, 0.000, 0.500]]
}

---

Entry 2:
{
  "formula": "Ba3CuB",
  "functional": "GGA-PBE",
  "state": "optimized geometry",
  "formation_energy_mev_per_atom": 555,
  "crystal_system": "cubic",
  "space_group": "Pm-3m (221)",
  "m_tot_mub_per_cell": 0.936,
  "relative_energy_mev_per_atom": 0,
  "lattice_angstrom": [[5.896, 0.000, 0.000], [0.000, 5.896, 0.000], [0.000, 0.000, 5.896]],
  "species": ["Ba", "Ba", "Ba", "B", "Cu"],
  "frac_coords": [[0.000, 0.000, 0.500], [0.000, 0.500, 0.000], [0.500, 0.000, 0.000], [0.000, 0.000, 0.000], [0.500, 0.500, 0.500]]
}

---

Entry 3:
{
  "formula": "BaCuB3",
  "functional": "GGA-PBE",
  "state": "optimized geometry",
  "formation_energy_mev_per_atom": 1283,
  "crystal_system": "cubic",
  "space_group": "Pm-3m (221)",
  "m_tot_mub_per_cell": 0.565,
  "relative_energy_mev_per_atom": 0,
  "lattice_angstrom": [[4.243, 0.000, 0.000], [0.000, 4.243, 0.000], [0.000, 0.000, 4.243]],
  "species": ["B", "B", "B", "Ba", "Cu"],
  "frac_coords": [[0.000, 0.000, 0.500], [0.000, 0.500, 0.000], [0.500, 0.000, 0.000], [0.500, 0.500, 0.500], [0.000, 0.000, 0.000]]
}

---

Entry 4:
{
  "formula": "BaCuB3",
  "functional": "GGA-PBE",
  "state": "optimized geometry",
  "formation_energy_mev_per_atom": 3096,
  "crystal_system": "cubic",
  "space_group": "Pm-3m (221)",
  "m_tot_mub_per_cell": 0.000,
  "relative_energy_mev_per_atom": 1813,
  "lattice_angstrom": [[-2.848, -4.082, -0.377], [3.321, -2.028, -3.127], [2.404, -2.035, 3.873]],
  "species": ["Cu", "B", "B", "B", "Ba"],
  "frac_coords": [[0.500, 0.500, 0.500], [0.000, 0.000, 0.500], [0.500, 0.000, 0.000], [0.000, 0.500, 0.000], [0.000, 0.000, 0.000]]
}